1.
Entry from Alexandria: a geometry-optimized Sr2HoGaCu2O7 structure (PBE).

The structure in CIF format:
```
data_Sr2HoGaCu2O7
_chemical_formula_sum 'Sr4 Ho2 Ga2 Cu4 O14'
_space_group_name_H-M_alt 'P 1'
_space_group_IT_number 1
_cell_length_a 12.244
_cell_length_b 12.244
_cell_length_c 12.244
_cell_angle_alpha 36.73
_cell_angle_beta 154.00
_cell_angle_gamma 154.51
loop_
_space_group_symop_operation_xyz
'x,y,z'
loop_
_atom_site_label
_atom_site_type_symbol
_atom_site_fract_x
_atom_site_fract_y
_atom_site_fract_z
Sr1 Sr 0.017 0.151 0.169
Sr2 Sr 0.017 0.349 0.366
Sr3 Sr 0.983 0.651 0.634
Sr4 Sr 0.983 0.849 0.831
Ho1 Ho 0.997 0.497 0.500
Ho2 Ho 0.997 0.997 0.000
Ga1 Ga 0.468 0.788 0.180
Ga2 Ga 0.607 0.288 0.820
Cu1 Cu 0.495 0.567 0.070
Cu2 Cu 0.495 0.925 0.428
Cu3 Cu 0.497 0.067 0.572
Cu4 Cu 0.497 0.425 0.930
O1 O 0.005 0.641 0.864
O2 O 0.428 0.148 0.633
O3 O 0.428 0.295 0.780
O4 O 0.476 0.172 0.177
O5 O 0.476 0.799 0.803
O6 O 0.515 0.316 0.321
O7 O 0.515 0.648 0.220
O8 O 0.515 0.694 0.699
O9 O 0.515 0.795 0.367
O10 O 0.777 0.141 0.136
O11 O 0.995 0.194 0.679
O12 O 0.995 0.299 0.823
O13 O 0.995 0.672 0.197
O14 O 0.995 0.816 0.301
```

Values from the calculation:
mass density: 6.2 g/cm3
formation energy (no corrections): -2663.5 kJ/mol of formula units

=====

2.
Entry from Alexandria: a geometry-optimized SrSiPt2 structure (PBE).

The structure in CIF format:
```
data_SrSiPt2
_chemical_formula_sum 'Sr4 Si4 Pt8'
_space_group_name_H-M_alt 'P 1'
_space_group_IT_number 1
_cell_length_a 7.652
_cell_length_b 6.929
_cell_length_c 5.818
_cell_angle_alpha 90.00
_cell_angle_beta 90.00
_cell_angle_gamma 90.00
loop_
_space_group_symop_operation_xyz
'x,y,z'
loop_
_atom_site_label
_atom_site_type_symbol
_atom_site_fract_x
_atom_site_fract_y
_atom_site_fract_z
Sr1 Sr 0.022 0.250 0.127
Sr2 Sr 0.478 0.750 0.627
Sr3 Sr 0.522 0.250 0.373
Sr4 Sr 0.978 0.750 0.873
Si1 Si 0.129 0.750 0.368
Si2 Si 0.371 0.250 0.868
Si3 Si 0.629 0.750 0.132
Si4 Si 0.871 0.250 0.632
Pt1 Pt 0.165 0.054 0.599
Pt2 Pt 0.165 0.446 0.599
Pt3 Pt 0.335 0.554 0.099
Pt4 Pt 0.335 0.946 0.099
Pt5 Pt 0.665 0.054 0.901
Pt6 Pt 0.665 0.446 0.901
Pt7 Pt 0.835 0.554 0.401
Pt8 Pt 0.835 0.946 0.401
```

Values from the calculation:
mass density: 10.9 g/cm3
formation energy (no corrections): -330.0 kJ/mol of formula units